Crystalline Si3W2O12 at its relaxed geometry, computed with GGA+U.

The crystal system is cubic. The calculation puts the total energy at -1031.84 eV/cell.

The space group is Ia-3d (No. 230) and the conventional cell measures 12.017, 12.017 and 12.017 Å, with angles of 90.00, 90.00 and 90.00 degrees. The asymmetric unit holds Si at (0.000, 0.250, 0.375), W at (0.000, 0.000, 0.000) and O at (0.041, 0.042, 0.650).